No. 1
Material: KYW2
Method: DFT, GGA-PBE
State: optimized geometry

abc: 4.4843 4.4843 8.9088
angles: 86.64 86.64 41.23
Fractional coordinates of all 4 atoms:
K  0.2579  0.2579  0.2004
W  0.0201  0.0201  0.9027
W  0.7405  0.7405  0.7951
Y  0.4816  0.4816  0.6018

## Properties
SG: Cm
Spin magnetization in μB/cell: 0.0

***

No. 2
Material: KY4W
Method: DFT, GGA-PBE
State: optimized geometry

abc: 6.4587 6.4587 6.4587
angles: 60.00 60.00 60.00
Fractional coordinates of all 6 atoms:
K  0.7500  0.7500  0.7500
Y  0.8863  0.3712  0.3712
Y  0.3712  0.3712  0.8863
Y  0.3712  0.8863  0.3712
Y  0.3712  0.3712  0.3712
W  0.0000  0.0000  0.0000

## Properties
SG: F-43m
Spin magnetization in μB/cell: 2.7

***

No. 3
Material: KY2W2
Method: DFT, GGA-PBE
State: optimized geometry

abc: 3.7119 3.7119 12.4915
angles: 81.46 81.46 90.00
Fractional coordinates of all 5 atoms:
Y  0.3500  0.3500  0.2999
Y  0.6500  0.6500  0.7001
K  0.0000  0.0000  0.0000
W  0.7500  0.2500  0.5000
W  0.2500  0.7500  0.5000

## Properties
SG: I4/mmm
Spin magnetization in μB/cell: 0.0

***

No. 4
Material: KY2W
Method: DFT, GGA-PBE
State: optimized geometry

abc: 8.3177 8.3177 8.3228
angles: 60.02 60.02 90.00
Fractional coordinates of all 8 atoms:
Y  0.8741  0.1250  0.2500
Y  0.8759  0.6250  0.2500
Y  0.3750  0.1259  0.7500
Y  0.8750  0.1241  0.7500
K  0.5000  0.5000  0.0000
K  0.2500  0.7500  0.5000
W  0.0000  0.0000  0.0000
W  0.7500  0.2500  0.5000

## Properties
SG: I-42d
Spin magnetization in μB/cell: 0.0

***

No. 5
Material: KY2W
Method: DFT, GGA-PBE
State: optimized geometry

abc: 5.1808 3.1447 8.3685
angles: 88.71 90.00 90.00
Fractional coordinates of all 4 atoms:
K  0.0000  0.6196  0.5197
W  0.5000  0.6351  0.8722
Y  0.0000  0.1177  0.9376
Y  0.5000  0.1276  0.1705

## Properties
SG: Pm
Spin magnetization in μB/cell: 0.0

***

No. 6
Material: K2YW
Method: DFT, GGA-PBE
State: optimized geometry

abc: 6.7391 3.0984 5.5885
angles: 89.05 90.00 90.00
Fractional coordinates of all 4 atoms:
K  0.0000  0.9848  0.0117
K  0.0000  0.5152  0.4883
W  0.5000  0.2500  0.2500
Y  0.5000  0.7500  0.7500

## Properties
SG: P2/m
Spin magnetization in μB/cell: 0.0

***

No. 7
Material: K2YW
Method: DFT, GGA-PBE
State: optimized geometry

abc: 5.6512 5.6512 5.6512
angles: 120.06 120.06 89.90
Fractional coordinates of all 4 atoms:
K  0.0000  0.0000  0.0000
K  0.2500  0.7500  0.5000
W  0.5000  0.5000  0.0000
Y  0.7500  0.2500  0.5000

## Properties
SG: F-43m
Spin magnetization in μB/cell: 2.9

***

No. 8
Material: K2YW
Method: DFT, GGA-PBE
State: optimized geometry

abc: 10.8891 10.8891 4.8009
angles: 77.51 77.51 17.33
Fractional coordinates of all 4 atoms:
K  0.9035  0.9035  0.1009
K  0.5965  0.5965  0.3991
W  0.2500  0.2500  0.2500
Y  0.7500  0.7500  0.7500

## Properties
SG: C2/m
Spin magnetization in μB/cell: 1.3

***

| no. | formation energy (eV/atom) | total energy (eV/atom) |
| --- | --- | --- |
| 1 | 0.890 | -7.477 |
| 2 | 1.171 | -5.480 |
| 3 | 0.643 | -7.344 |
| 4 | 1.343 | -5.402 |
| 5 | 0.848 | -5.897 |
| 6 | 1.287 | -4.116 |
| 7 | 1.497 | -3.906 |
| 8 | 0.989 | -4.414 |